Ca5Zn2Cd: relaxed, PBE-GGA.

Results
ΔE_f, eV per atom: -0.233
D(E_F), states/eV/atom: 1.043
Magnetization, μB/f.u.: 0.0
Uncorrected energy, eV per cell: -61.36

Cell lengths 8.0328, 8.0328, 15.1159 Å; angles 90.00, 90.00, 90.00 degrees
Last column: nearest neighbours and their distance in Å.
Space group I4/mcm (No. 140)
Inequivalent atoms, fractional coordinates:
Ca (0.0000, 0.0000, 0.0000)  4 Zn 3.21
Ca (0.1685, 0.3315, 0.1445)  3 Zn 3.20-3.26, 2 Cd 3.39
Zn (0.1184, 0.3816, 0.5000)  1 Zn 2.69
Cd (0.0000, 0.0000, 0.2500)  10 Ca 3.39-3.78